[1]
! In3SbTe6 | Alexandria via LeMat-Bulk | PBE-GGA | optimized geometry; values from VASP
! Electronic total energy: -33.15 eV per formula unit
! SG: No. 11
&SYSTEM
  ibrav = 0, nat = 20, ntyp = 3
/
ATOMIC_SPECIES
In 114.82 In.upf
Sb 121.76 Sb.upf
Te 127.60 Te.upf
CELL_PARAMETERS angstrom
12.595 0.000 0.000
0.000 4.286 0.000
-6.067 0.000 12.810
ATOMIC_POSITIONS crystal
In 0.045 0.250 0.326
In 0.303 0.250 0.062
In 0.348 0.750 0.305
In 0.652 0.250 0.695
In 0.697 0.750 0.938
In 0.955 0.750 0.674
Sb 0.254 0.250 0.760
Sb 0.746 0.750 0.240
Te 0.058 0.250 0.820
Te 0.131 0.750 0.598
Te 0.159 0.750 0.101
Te 0.291 0.250 0.427
Te 0.367 0.750 0.944
Te 0.496 0.250 0.272
Te 0.504 0.750 0.728
Te 0.633 0.250 0.056
Te 0.709 0.750 0.573
Te 0.841 0.250 0.899
Te 0.869 0.250 0.402
Te 0.942 0.750 0.180


[2]
! ZrGaHg3 | Alexandria via LeMat-Bulk | PBE-GGA | optimized geometry; values from VASP
! Energy above the most stable polymorph in this dataset: 6.08 kJ per mole of atoms
! SG: No. 221
! E_form: 0.628 eV per atom
&SYSTEM
  ibrav = 0, nat = 5, ntyp = 3
/
ATOMIC_SPECIES
Zr 91.22 Zr.upf
Ga 69.72 Ga.upf
Hg 200.59 Hg.upf
CELL_PARAMETERS angstrom
5.624 0.000 0.000
0.000 5.624 0.000
0.000 0.000 5.624
ATOMIC_POSITIONS crystal
Zr 0.000 0.000 0.000
Ga 0.500 0.500 0.500
Hg 0.000 0.000 0.500
Hg 0.000 0.500 0.000
Hg 0.500 0.000 0.000


[3]
! Mg2Mo | Alexandria via LeMat-Bulk | PBE-GGA | optimized geometry; values from VASP
! Energy above the most stable polymorph in this dataset: 10.18 kJ per mole of atoms
! SG: No. 63
! E_form: 0.328 eV per atom
&SYSTEM
  ibrav = 0, nat = 6, ntyp = 2
/
ATOMIC_SPECIES
Mg 24.30 Mg.upf
Mo 95.94 Mo.upf
CELL_PARAMETERS angstrom
1.405 -8.209 0.000
1.405 8.209 0.000
0.000 0.000 4.834
ATOMIC_POSITIONS crystal
Mg 0.056 0.944 0.750
Mg 0.377 0.623 0.750
Mg 0.623 0.377 0.250
Mg 0.944 0.056 0.250
Mo 0.279 0.721 0.250
Mo 0.721 0.279 0.750


[4]
! KTa2I | Alexandria via LeMat-Bulk | PBE-GGA | optimized geometry; values from VASP
! Energy above the most stable polymorph in this dataset: 66.78 kJ per mole of atoms
! SG: No. 225
&SYSTEM
  ibrav = 0, nat = 4, ntyp = 3
/
ATOMIC_SPECIES
K 39.10 K.upf
Ta 180.95 Ta.upf
I 126.90 I.upf
CELL_PARAMETERS angstrom
0.000 3.547 3.547
3.547 0.000 3.547
3.547 3.547 0.000
ATOMIC_POSITIONS crystal
K 0.000 0.000 0.000
Ta 0.250 0.250 0.250
Ta 0.750 0.750 0.750
I 0.500 0.500 0.500


[5]
! Er2InGe | Alexandria via LeMat-Bulk | PBE-GGA | optimized geometry; values from VASP
! SG: No. 166
! E_form: -0.473 eV per atom
&SYSTEM
  ibrav = 0, nat = 4, ntyp = 3
/
ATOMIC_SPECIES
Er 167.26 Er.upf
In 114.82 In.upf
Ge 72.64 Ge.upf
CELL_PARAMETERS angstrom
1.910 1.102 8.426
-1.910 1.102 8.426
0.000 -2.205 8.426
ATOMIC_POSITIONS crystal
Er 0.239 0.239 0.239
Er 0.761 0.761 0.761
In 0.000 0.000 0.000
Ge 0.500 0.500 0.500


[6]
! YZn2GaCu2 | Alexandria via LeMat-Bulk | PBE-GGA | optimized geometry; values from VASP
! SG: No. 123
! E_form: -0.019 eV per atom
&SYSTEM
  ibrav = 0, nat = 6, ntyp = 4
/
ATOMIC_SPECIES
Y 88.91 Y.upf
Zn 65.41 Zn.upf
Ga 69.72 Ga.upf
Cu 63.55 Cu.upf
CELL_PARAMETERS angstrom
4.463 0.000 0.000
0.000 4.463 0.000
0.000 0.000 5.577
ATOMIC_POSITIONS crystal
Y 0.000 0.000 0.000
Zn 0.500 0.500 0.233
Zn 0.500 0.500 0.767
Ga 0.000 0.000 0.500
Cu 0.000 0.500 0.500
Cu 0.500 0.000 0.500